Density functional theory data (PBE-GGA) for HoPaRe4 after structural relaxation.

Total DFT energy (no corrections)   -10.76 eV/atom
SG   F-43m
DOS at the Fermi energy   13.817 states/eV per cell
Formation energy   -0.115 eV/atom
Spin magnetization   0.00 μB/atom

Lattice parameters (Å, degrees): 5.430 5.430 5.430 60.00 60.00 60.00
Sites, in units of the cell vectors:
Ho  0.000  0.000  0.000
Pa  0.750  0.750  0.750
Re  0.375  0.375  0.375
Re  0.375  0.375  0.876
Re  0.375  0.876  0.375
Re  0.876  0.375  0.375

Density functional theory data (PBE-GGA) for NdTlBi4 after structural relaxation.

Total DFT energy (no corrections)   -3.89 eV/atom
SG   F-43m
DOS at the Fermi energy   4.064 states/eV per cell
Formation energy   -0.110 eV/atom
Spin magnetization   0.00 μB/atom

Lattice parameters (Å, degrees): 6.583 6.583 6.583 60.00 60.00 60.00
Sites, in units of the cell vectors:
Nd  0.000  0.000  0.000
Tl  0.750  0.750  0.750
Bi  0.375  0.375  0.375
Bi  0.375  0.375  0.874
Bi  0.375  0.874  0.375
Bi  0.874  0.375  0.375

Density functional theory data (PBE-GGA) for BaPtBr2 after structural relaxation.

Total DFT energy (no corrections)   -3.71 eV/atom
SG   Imm2
Formation energy from raw total energies   -3.528 eV/f.u.
Offset from the most stable computed form   0.167 eV/atom
DOS at the Fermi energy   0.738 states/eV per cell
Spin magnetization   0.00 μB/atom

Lattice parameters (Å, degrees): 8.509 8.509 8.509 153.21 151.85 39.25
Sites, in units of the cell vectors:
Ba  0.000  0.000  0.000
Pt  0.844  0.344  0.500
Br  0.339  0.839  0.500
Br  0.599  0.599  0.000

Density functional theory data (PBE-GGA) for TbY3Pd12 after structural relaxation.

Total DFT energy (no corrections)   -6.25 eV/atom
SG   P4/mmm
DOS at the Fermi energy   11.521 states/eV per cell
Formation energy   -0.850 eV/atom
Spin magnetization   0.00 μB/atom

Lattice parameters (Å, degrees): 4.127 4.127 16.593 90.00 90.00 90.00
Sites, in units of the cell vectors:
Tb  0.000  0.000  0.000
Y  0.000  0.000  0.250
Y  0.000  0.000  0.500
Y  0.000  0.000  0.750
Pd  0.000  0.500  0.125
Pd  0.000  0.500  0.375
Pd  0.000  0.500  0.625
Pd  0.000  0.500  0.875
Pd  0.500  0.000  0.125
Pd  0.500  0.000  0.375
Pd  0.500  0.000  0.625
Pd  0.500  0.000  0.875
Pd  0.500  0.500  0.000
Pd  0.500  0.500  0.250
Pd  0.500  0.500  0.500
Pd  0.500  0.500  0.750

Density functional theory data (PBE-GGA) for Dy4MgZnHg2 after structural relaxation.

Total DFT energy (no corrections)   -3.08 eV/atom
SG   R-3m
DOS at the Fermi energy   8.269 states/eV per cell
Formation energy   -0.345 eV/atom
Spin magnetization   0.00 μB/atom

Lattice parameters (Å, degrees): 9.039 9.039 9.039 33.65 33.65 33.65
Sites, in units of the cell vectors:
Dy  0.118  0.118  0.118
Dy  0.369  0.369  0.369
Dy  0.631  0.631  0.631
Dy  0.882  0.882  0.882
Mg  0.500  0.500  0.500
Zn  0.000  0.000  0.000
Hg  0.242  0.242  0.242
Hg  0.758  0.758  0.758

Density functional theory data (PBE-GGA) for SbAsO2F after structural relaxation.

Total DFT energy (no corrections)   -4.74 eV/atom
SG   P4/mmm
Formation energy from raw total energies   -3.141 eV/f.u.
DOS at the Fermi energy   2.067 states/eV per cell
Spin magnetization   0.00 μB/atom

Lattice parameters (Å, degrees): 4.161 4.161 4.149 90.00 90.00 90.00
Sites, in units of the cell vectors:
Sb  0.000  0.000  0.000
As  0.500  0.500  0.500
O  0.000  0.500  0.500
O  0.500  0.000  0.500
F  0.500  0.500  0.000

Density functional theory data (PBE-GGA) for Cd2SnAs2 after structural relaxation.

Total DFT energy (no corrections)   -2.87 eV/atom
SG   I4/mmm
Offset from the most stable computed form   0.060 eV/atom
DOS at the Fermi energy   1.650 states/eV per cell
Formation energy   0.159 eV/atom
Spin magnetization   0.00 μB/atom

Lattice parameters (Å, degrees): 8.757 8.757 8.757 154.91 154.91 35.78
Sites, in units of the cell vectors:
Cd  0.104  0.104  0.000
Cd  0.896  0.896  0.000
Sn  0.500  0.500  0.000
As  0.250  0.750  0.500
As  0.750  0.250  0.500

> Among the records above, which one has the lowest DOS at the Fermi energy?

BaPtBr2